16
Lattice="-0.217 -4.288 2.596 3.973 0.752 1.574 -3.265 3.997 6.330" Properties=species:S:1:pos:R:3 comment="FeNi3 PBE relaxed" space_group="No. 62" pbc="T T T"
Ni -0.877 1.673 6.395
Ni 1.155 -1.158 6.616
Ni 2.890 -1.013 2.151
Ni -0.779 -0.509 5.209
Ni 0.955 -0.365 0.744
Ni -0.465 0.826 9.757
Ni 1.367 -1.213 4.105
Ni 1.270 0.970 5.291
Ni -2.400 1.474 8.350
Ni 1.167 3.181 6.497
Ni -0.665 1.618 3.884
Ni -0.677 -2.720 4.003
Fe 1.066 1.060 7.784
Fe -0.980 -0.492 7.709
Fe 1.470 0.952 2.792
Fe -0.576 -0.599 2.716

9
Lattice="2.482 0.006 0.598 1.024 6.279 1.132 -0.228 -0.864 6.400" Properties=species:S:1:pos:R:3 comment="Fe4Ni5 PBE relaxed" relative_energy_mev_per_atom=53.6 space_group="No. 71" pbc="T T T"
Fe 1.172 1.854 0.565
Fe 2.471 5.654 6.027
Fe 1.916 2.051 2.922
Fe 1.413 3.665 4.991
Ni 0.189 1.517 4.644
Ni 0.649 4.138 2.711
Ni 2.171 3.126 7.296
Ni 0.689 -0.085 2.590
Ni 0.982 6.039 1.310

4
Lattice="2.961 0.000 0.000 0.000 2.961 0.000 0.000 0.000 5.132" Properties=species:S:1:pos:R:3 comment="FeNi3 PBE relaxed" space_group="No. 123" pbc="T T T"
Ni 0.000 0.000 2.566
Ni 1.481 1.481 3.847
Ni 1.481 1.481 1.285
Fe 0.000 0.000 0.000

no.,E_form (eV per atom)
1,-0.04
2,0.02
3,0.02